Entry from the Alexandria database: crystalline Cs3Ce2YSe6 at its relaxed geometry (GGA-PBE).

abc: 7.598 7.598 8.745
angles: 98.33 98.33 120.00
Atoms (fractional coordinates):
1 Cs 0.168 0.832 0.500
2 Cs 0.832 0.168 0.500
3 Cs 0.500 0.500 0.500
4 Ce 0.333 0.667 0.000
5 Ce 0.667 0.333 0.000
6 Y 0.000 0.000 0.000
7 Se 0.937 0.612 0.812
8 Se 0.737 0.737 0.188
9 Se 0.063 0.388 0.188
10 Se 0.612 0.937 0.812
11 Se 0.263 0.263 0.812
12 Se 0.388 0.063 0.188

Results
- Raw total energy: -5.17 eV/atom
- ΔE_f (raw): -1.69 eV/atom
- Space group: C2/m, No. 12

Entry from the Alexandria database: crystalline TcPAu2 at its relaxed geometry (GGA-PBE).

abc: 7.399 7.399 5.807
angles: 50.42 50.42 90.00
Atoms (fractional coordinates):
1 P 0.500 0.500 0.000
2 P 0.250 0.750 0.500
3 Au 0.587 0.125 0.250
4 Au 0.163 0.625 0.250
5 Au 0.375 0.413 0.750
6 Au 0.875 0.837 0.750
7 Tc 0.000 0.000 0.000
8 Tc 0.750 0.250 0.500

Results
- Formation enthalpy at 0 K: 0.403 eV/atom
- Raw total energy: -5.18 eV/atom
- Space group: I-42d, No. 122

Entry from the Alexandria database: crystalline SiSeCl2 at its relaxed geometry (GGA-PBE).

abc: 7.263 7.263 7.263
angles: 151.76 145.63 45.06
Atoms (fractional coordinates):
1 Cl 0.972 0.972 0.000
2 Cl 0.748 0.248 0.500
3 Se 0.458 0.458 0.000
4 Si 0.322 0.822 0.500

Results
- Raw total energy: -3.08 eV/atom
- ΔE_f (raw): 0.07 eV/atom
- Excess energy over the best structure of this formula in the dataset: 372.7 meV per atom
- Space group: Imm2, No. 44